1.
Density functional theory data (GGA-PBE) for crystalline Zn9Ga3Hg at its relaxed geometry.

Calculated values
* formation enthalpy at 0 K: 0.129 eV/atom
* DOS at the Fermi energy: 0.2058 states/eV/atom
* spin magnetization: 0.000 Bohr magnetons per cell
* crystal system: triclinic

Geometry as CIF:
```
data_Zn9Ga3Hg
_chemical_formula_sum 'Zn9 Ga3 Hg1'
_space_group_name_H-M_alt 'P -1'
_space_group_IT_number 2
_space_group_name_Hall '-P 1'
_cell_length_a 5.7229
_cell_length_b 6.4810
_cell_length_c 6.5038
_cell_angle_alpha 86.15
_cell_angle_beta 88.96
_cell_angle_gamma 88.96
loop_
_atom_site_label
_atom_site_type_symbol
_atom_site_fract_x
_atom_site_fract_y
_atom_site_fract_z
_atom_site_occupancy
Zn1 Zn 0.0000 0.0000 0.0000 1
Zn2 Zn 0.0000 0.5000 0.5000 1
Zn3 Zn 0.0524 0.1503 0.3483 1
Zn4 Zn 0.2375 0.7493 0.2506 1
Zn5 Zn 0.2467 0.2585 0.7589 1
Zn6 Zn 0.5000 0.5000 0.0000 1
Ga1 Ga 0.0000 0.5000 0.0000 1
Ga2 Ga 0.5000 0.0000 0.0000 1
Ga3 Ga 0.5000 0.5000 0.5000 1
Hg1 Hg 0.5000 0.0000 0.5000 1
```

---

2.
Density functional theory data (GGA-PBE) for crystalline In6BiCl12 at its relaxed geometry.

Calculated values
* formation energy without anion corrections: -17.6 kcal/mol of atoms
* DOS at the Fermi energy: 0.4606 states/eV/atom
* spin magnetization: 6.907 Bohr magnetons per cell
* crystal system: trigonal

Geometry as CIF:
```
data_In6BiCl12
_chemical_formula_sum 'In18 Bi3 Cl36'
_space_group_name_H-M_alt 'R -3'
_space_group_IT_number 148
_space_group_name_Hall '-R 3'
_cell_length_a 18.7187
_cell_length_b 18.7187
_cell_length_c 6.5841
_cell_angle_alpha 90.00
_cell_angle_beta 90.00
_cell_angle_gamma 120.00
loop_
_atom_site_label
_atom_site_type_symbol
_atom_site_fract_x
_atom_site_fract_y
_atom_site_fract_z
_atom_site_occupancy
In1 In 0.0020 0.1422 0.2476 1
Bi1 Bi 0.0000 0.0000 0.5000 1
Cl1 Cl 0.0027 0.7704 0.4982 1
Cl2 Cl 0.1021 0.5523 0.6652 1
```